1.
VASP calculation (PBE) on an optimized crystal structure of CaCrBi2W.

ΔH_f (0 K): 63.6 kJ/mol of atoms
density: 7.81 g/cm³

CIF file:
```
data_CaCrBi2W
_cell_length_a 5.439
_cell_length_b 5.439
_cell_length_c 4.985
_cell_angle_alpha 90.00
_cell_angle_beta 90.00
_cell_angle_gamma 90.00
_symmetry_space_group_name_H-M 'P 4/m m m'
_symmetry_Int_Tables_number 123
_symmetry_space_group_name_Hall '-P 4 2'
loop_
_atom_site_label
_atom_site_type_symbol
_atom_site_fract_x
_atom_site_fract_y
_atom_site_fract_z
Ca1 Ca 0.000 0.000 0.000
Cr1 Cr 0.500 0.500 0.000
Bi1 Bi 0.000 0.500 0.500
W1 W 0.500 0.500 0.500
```

***

2.
VASP calculation (PBE) on an optimized crystal structure of NbV2Fe.

ΔH_f (0 K): -3.9 kJ/mol of atoms
ΔE to the lowest computed polymorph: 0.000 eV/atom
density: 7.63 g/cm³

CIF file:
```
data_NbV2Fe
_cell_length_a 6.020
_cell_length_b 6.020
_cell_length_c 6.020
_cell_angle_alpha 90.00
_cell_angle_beta 90.00
_cell_angle_gamma 90.00
_symmetry_space_group_name_H-M 'F m -3 m'
_symmetry_Int_Tables_number 225
_symmetry_space_group_name_Hall '-F 4 2 3'
loop_
_atom_site_label
_atom_site_type_symbol
_atom_site_fract_x
_atom_site_fract_y
_atom_site_fract_z
Nb1 Nb 0.000 0.000 0.000
V1 V 0.250 0.250 0.250
Fe1 Fe 0.000 0.000 0.500
```

***

3.
VASP calculation (PBE) on an optimized crystal structure of La2TcSb.

uncorrected formation energy: -0.149 eV per atom
density: 8.59 g/cm³

CIF file:
```
data_La2TcSb
_cell_length_a 7.275
_cell_length_b 7.275
_cell_length_c 7.275
_cell_angle_alpha 90.00
_cell_angle_beta 90.00
_cell_angle_gamma 90.00
_symmetry_space_group_name_H-M 'F -4 3 m'
_symmetry_Int_Tables_number 216
_symmetry_space_group_name_Hall 'F -4 2 3'
loop_
_atom_site_label
_atom_site_type_symbol
_atom_site_fract_x
_atom_site_fract_y
_atom_site_fract_z
La1 La 0.000 0.000 0.000
La2 La 0.250 0.250 0.250
Tc1 Tc 0.250 0.250 0.750
Sb1 Sb 0.000 0.000 0.500
```

***

4.
VASP calculation (PBE) on an optimized crystal structure of BaCd5AgPd2.

ΔH_f (0 K): -18.1 kJ/mol of atoms
density: 7.50 g/cm³

CIF file:
```
data_BaCd5AgPd2
_cell_length_a 5.305
_cell_length_b 5.305
_cell_length_c 8.024
_cell_angle_alpha 90.00
_cell_angle_beta 90.00
_cell_angle_gamma 90.00
_symmetry_space_group_name_H-M 'P 4/m m m'
_symmetry_Int_Tables_number 123
_symmetry_space_group_name_Hall '-P 4 2'
loop_
_atom_site_label
_atom_site_type_symbol
_atom_site_fract_x
_atom_site_fract_y
_atom_site_fract_z
Ba1 Ba 0.000 0.000 0.000
Cd1 Cd 0.000 0.500 0.312
Cd2 Cd 0.500 0.500 0.000
Ag1 Ag 0.000 0.000 0.500
Pd1 Pd 0.500 0.500 0.328
```

***

5.
VASP calculation (PBE) on an optimized crystal structure of Tb2FeSi4.

uncorrected formation energy: -0.536 eV per atom
density: 6.21 g/cm³

CIF file:
```
data_Tb2FeSi4
_cell_length_a 3.976
_cell_length_b 4.069
_cell_length_c 16.071
_cell_angle_alpha 90.00
_cell_angle_beta 90.00
_cell_angle_gamma 90.00
_symmetry_space_group_name_H-M 'A m m 2'
_symmetry_Int_Tables_number 38
loop_
_symmetry_equiv_pos_as_xyz
'x,y,z'
'-x,-y,z'
'-x,y,z'
'x,-y,z'
'x,y+1/2,z+1/2'
'-x,-y+1/2,z+1/2'
'-x,y+1/2,z+1/2'
'x,-y+1/2,z+1/2'
loop_
_atom_site_label
_atom_site_type_symbol
_atom_site_fract_x
_atom_site_fract_y
_atom_site_fract_z
Tb1 Tb 0.000 0.000 0.000
Tb2 Tb 0.500 0.000 0.217
Fe1 Fe 0.000 0.000 0.355
Si1 Si 0.000 0.000 0.646
Si2 Si 0.000 0.000 0.800
Si3 Si 0.500 0.000 0.413
Si4 Si 0.500 0.000 0.563
```

***

6.
VASP calculation (PBE) on an optimized crystal structure of Cu2TeW.

uncorrected formation energy: 0.592 eV per atom
density: 11.19 g/cm³

CIF file:
```
data_Cu2TeW
_cell_length_a 3.490
_cell_length_b 3.490
_cell_length_c 5.340
_cell_angle_alpha 90.00
_cell_angle_beta 90.00
_cell_angle_gamma 90.00
_symmetry_space_group_name_H-M 'P 4/m m m'
_symmetry_Int_Tables_number 123
_symmetry_space_group_name_Hall '-P 4 2'
loop_
_atom_site_label
_atom_site_type_symbol
_atom_site_fract_x
_atom_site_fract_y
_atom_site_fract_z
Cu1 Cu 0.000 0.000 0.228
Te1 Te 0.500 0.500 0.500
W1 W 0.500 0.500 0.000
```

***

7.
VASP calculation (PBE) on an optimized crystal structure of ZnGaCuRh.

ΔH_f (0 K): -33.0 kJ/mol of atoms
density: 9.16 g/cm³

CIF file:
```
data_ZnGaCuRh
_cell_length_a 3.391
_cell_length_b 3.974
_cell_length_c 4.058
_cell_angle_alpha 90.00
_cell_angle_beta 90.00
_cell_angle_gamma 90.00
_symmetry_space_group_name_H-M 'P m m m'
_symmetry_Int_Tables_number 47
loop_
_symmetry_equiv_pos_as_xyz
'x,y,z'
'-x,-y,-z'
'-x,-y,z'
'x,y,-z'
'x,-y,-z'
'-x,y,z'
'-x,y,-z'
'x,-y,z'
loop_
_atom_site_label
_atom_site_type_symbol
_atom_site_fract_x
_atom_site_fract_y
_atom_site_fract_z
Zn1 Zn 0.000 0.000 0.000
Ga1 Ga 0.000 0.500 0.500
Cu1 Cu 0.500 0.500 0.000
Rh1 Rh 0.500 0.000 0.500
```

***

8.
VASP calculation (PBE) on an optimized crystal structure of VTeBrN2.

uncorrected formation energy: 2.266 eV per atom
ΔE to the lowest computed polymorph: 1.739 eV/atom
density: 4.58 g/cm³

CIF file:
```
data_VTeBrN2
_cell_length_a 3.867
_cell_length_b 3.867
_cell_length_c 6.948
_cell_angle_alpha 90.00
_cell_angle_beta 90.00
_cell_angle_gamma 90.00
_symmetry_space_group_name_H-M 'P 4/m m m'
_symmetry_Int_Tables_number 123
_symmetry_space_group_name_Hall '-P 4 2'
loop_
_atom_site_label
_atom_site_type_symbol
_atom_site_fract_x
_atom_site_fract_y
_atom_site_fract_z
V1 V 0.000 0.000 0.000
Te1 Te 0.500 0.500 0.000
Br1 Br 0.500 0.500 0.500
N1 N 0.000 0.500 0.500
```

***

9.
VASP calculation (PBE) on an optimized crystal structure of PrYTh2.

ΔH_f (0 K): 7.5 kJ/mol of atoms
ΔE to the lowest computed polymorph: 0.050 eV/atom
density: 8.71 g/cm³

CIF file:
```
data_PrYTh2
_cell_length_a 5.038
_cell_length_b 5.038
_cell_length_c 5.211
_cell_angle_alpha 90.00
_cell_angle_beta 90.00
_cell_angle_gamma 90.00
_symmetry_space_group_name_H-M 'P 4/m m m'
_symmetry_Int_Tables_number 123
_symmetry_space_group_name_Hall '-P 4 2'
loop_
_atom_site_label
_atom_site_type_symbol
_atom_site_fract_x
_atom_site_fract_y
_atom_site_fract_z
Pr1 Pr 0.000 0.000 0.000
Y1 Y 0.500 0.500 0.000
Th1 Th 0.000 0.500 0.500
```

***

10.
VASP calculation (PBE) on an optimized crystal structure of ZrTe2Pt.

uncorrected formation energy: -0.403 eV per atom
ΔE to the lowest computed polymorph: 0.260 eV/atom
density: 10.55 g/cm³

CIF file:
```
data_ZrTe2Pt
_cell_length_a 4.782
_cell_length_b 4.782
_cell_length_c 3.728
_cell_angle_alpha 90.00
_cell_angle_beta 90.00
_cell_angle_gamma 90.00
_symmetry_space_group_name_H-M 'P 4/m m m'
_symmetry_Int_Tables_number 123
_symmetry_space_group_name_Hall '-P 4 2'
loop_
_atom_site_label
_atom_site_type_symbol
_atom_site_fract_x
_atom_site_fract_y
_atom_site_fract_z
Zr1 Zr 0.000 0.000 0.000
Te1 Te 0.000 0.500 0.500
Pt1 Pt 0.500 0.500 0.000
```

***

11.
VASP calculation (PBE) on an optimized crystal structure of CaSm2Se3.

uncorrected formation energy: -1.873 eV per atom
density: 6.20 g/cm³

CIF file:
```
data_CaSm2Se3
_cell_length_a 4.147
_cell_length_b 5.899
_cell_length_c 12.641
_cell_angle_alpha 90.00
_cell_angle_beta 90.00
_cell_angle_gamma 90.00
_symmetry_space_group_name_H-M 'I m m m'
_symmetry_Int_Tables_number 71
_symmetry_space_group_name_Hall '-I 2 2'
loop_
_atom_site_label
_atom_site_type_symbol
_atom_site_fract_x
_atom_site_fract_y
_atom_site_fract_z
Ca1 Ca 0.000 0.000 0.000
Sm1 Sm 0.000 0.000 0.333
Se1 Se 0.000 0.500 0.000
Se2 Se 0.000 0.500 0.336
```

***

12.
VASP calculation (PBE) on an optimized crystal structure of Li2MgSiAu4.

uncorrected formation energy: -0.439 eV per atom
density: 11.04 g/cm³

CIF file:
```
data_Li2MgSiAu4
_cell_length_a 4.4800
_cell_length_b 4.4800
_cell_length_c 22.1719
_cell_angle_alpha 90.00
_cell_angle_beta 90.00
_cell_angle_gamma 120.00
_symmetry_space_group_name_H-M 'R -3 m'
_symmetry_Int_Tables_number 166
_symmetry_space_group_name_Hall '-R 3 2"'
loop_
_atom_site_label
_atom_site_type_symbol
_atom_site_fract_x
_atom_site_fract_y
_atom_site_fract_z
Li1 Li 0.0000 0.0000 0.2478
Mg1 Mg 0.0000 0.0000 0.5000
Si1 Si 0.0000 0.0000 0.0000
Au1 Au 0.0000 0.0000 0.1195
Au2 Au 0.0000 0.0000 0.3723
```

***

13.
VASP calculation (PBE) on an optimized crystal structure of YTi2Ga4.

ΔH_f (0 K): -44.4 kJ/mol of atoms
ΔE to the lowest computed polymorph: 0.082 eV/atom
density: 6.09 g/cm³

CIF file:
```
data_YTi2Ga4
_cell_length_a 3.404
_cell_length_b 4.145
_cell_length_c 17.919
_cell_angle_alpha 90.00
_cell_angle_beta 90.00
_cell_angle_gamma 90.00
_symmetry_space_group_name_H-M 'I m m m'
_symmetry_Int_Tables_number 71
_symmetry_space_group_name_Hall '-I 2 2'
loop_
_atom_site_label
_atom_site_type_symbol
_atom_site_fract_x
_atom_site_fract_y
_atom_site_fract_z
Y1 Y 0.000 0.000 0.000
Ti1 Ti 0.000 0.500 0.198
Ga1 Ga 0.000 0.000 0.427
Ga2 Ga 0.000 0.500 0.344
```

***

14.
VASP calculation (PBE) on an optimized crystal structure of LiSiH.

ΔE to the lowest computed polymorph: 0.005 eV/atom
density: 1.50 g/cm³

CIF file:
```
data_LiSiH
_cell_length_a 3.887
_cell_length_b 8.359
_cell_length_c 4.917
_cell_angle_alpha 90.00
_cell_angle_beta 90.00
_cell_angle_gamma 90.00
_symmetry_space_group_name_H-M 'A m m 2'
_symmetry_Int_Tables_number 38
loop_
_symmetry_equiv_pos_as_xyz
'x,y,z'
'-x,-y,z'
'-x,y,z'
'x,-y,z'
'x,y+1/2,z+1/2'
'-x,-y+1/2,z+1/2'
'-x,y+1/2,z+1/2'
'x,-y+1/2,z+1/2'
loop_
_atom_site_label
_atom_site_type_symbol
_atom_site_fract_x
_atom_site_fract_y
_atom_site_fract_z
Li1 Li 0.000 0.177 0.000
Si1 Si 0.000 0.000 0.537
Si2 Si 0.500 0.000 0.265
H1 H 0.500 0.137 0.052
```

***

15.
VASP calculation (PBE) on an optimized crystal structure of LaTaSi2.

uncorrected formation energy: -0.415 eV per atom
ΔE to the lowest computed polymorph: 0.000 eV/atom
density: 7.37 g/cm³

CIF file:
```
data_LaTaSi2
_cell_length_a 8.483
_cell_length_b 3.777
_cell_length_c 5.632
_cell_angle_alpha 90.00
_cell_angle_beta 110.10
_cell_angle_gamma 90.00
_symmetry_space_group_name_H-M 'C 1 2/m 1'
_symmetry_Int_Tables_number 12
loop_
_symmetry_equiv_pos_as_xyz
'x,y,z'
'-x,-y,-z'
'-x,y,-z'
'x,-y,z'
'x+1/2,y+1/2,z'
'-x+1/2,-y+1/2,-z'
'-x+1/2,y+1/2,-z'
'x+1/2,-y+1/2,z'
loop_
_atom_site_label
_atom_site_type_symbol
_atom_site_fract_x
_atom_site_fract_y
_atom_site_fract_z
La1 La 0.000 0.000 0.000
Ta1 Ta 0.000 0.500 0.500
Si1 Si 0.230 0.000 0.639
```

***

Calculated total energy, respectively: -5.81, -9.23, -6.23, -2.38, -6.17, -5.48, -4.28, -3.85, -6.44, -5.62, -5.52, -3.43, -5.37, -3.67, -7.32 eV per atom.